Entry 1:
The following is a GGA-PBE calculation of crystalline ErHf3N at its relaxed geometry, from the Alexandria database.

For the total energy, the calculation gives -45.63 eV for the cell shown. The energy relative to the elements, uncorrected is -55.67 kJ/mol of atoms.

The space group is Pm-3m (No. 221) and the conventional cell measures 4.580, 4.580 and 4.580 Å, with angles of 90.00, 90.00 and 90.00 degrees. The inequivalent atoms are Er at (0.000, 0.000, 0.000), Hf at (0.000, 0.500, 0.500) and N at (0.500, 0.500, 0.500).

Entry 2:
The following is a GGA-PBE calculation of crystalline NaInH at its relaxed geometry, from the Alexandria database.

For the total energy, the calculation gives -14.69 eV for the cell shown.

The space group is P1 (No. 1) and the conventional cell measures 3.427, 3.432 and 14.278 Å, with angles of 91.55, 95.70 and 117.61 degrees. The inequivalent atoms are Na at (0.000, 0.000, 0.000), Na at (0.306, 0.144, 0.445), In at (0.232, 0.583, 0.814), In at (0.764, 0.871, 0.632), H at (0.480, 0.719, 0.195) and H at (0.513, 0.740, 0.249).